(1)
AcGa2Pb: optimized geometry, PBE.

Summary:
**Total magnetic moment**: 0.00 μB per cell
**Space group**: R-3m, No. 166
**Calculated volume**: 112 Å³ per cell
**N(E_F)**: 2.53 states/eV/cell
**Crystal system**: trigonal
**Excess energy over the best structure of this formula in the dataset**: 0.1066 eV per atom

Unit cell a=4.985 b=4.985 c=5.951 alpha=65.24 beta=65.24 gamma=60.00
Fractional positions:
1 Pb 0.000 0.000 0.000
2 Ac 0.500 0.500 0.500
3 Ga 0.724 0.724 0.827
4 Ga 0.276 0.276 0.173

---

(2)
Nb3NiGe2: optimized geometry, PBE.

Summary:
**Total magnetic moment**: 0.00 μB per cell
**Space group**: Pnma, No. 62
**Calculated volume**: 386 Å³ per cell
**N(E_F)**: 12.51 states/eV/cell
**Crystal system**: orthorhombic
**Total energy**: -7.923 eV/atom

Unit cell a=4.006 b=9.284 c=10.382 alpha=90.00 beta=90.00 gamma=90.00
Fractional positions:
1 Nb 0.250 0.372 0.047
2 Nb 0.750 0.628 0.953
3 Nb 0.750 0.872 0.453
4 Nb 0.250 0.128 0.547
5 Nb 0.250 0.692 0.226
6 Nb 0.750 0.308 0.774
7 Nb 0.750 0.192 0.274
8 Nb 0.250 0.808 0.726
9 Nb 0.250 0.395 0.342
10 Nb 0.750 0.605 0.658
11 Nb 0.750 0.895 0.158
12 Nb 0.250 0.105 0.842
13 Ni 0.250 0.076 0.101
14 Ni 0.750 0.924 0.899
15 Ni 0.750 0.576 0.399
16 Ni 0.250 0.424 0.601
17 Ge 0.250 0.673 0.489
18 Ge 0.750 0.327 0.511
19 Ge 0.750 0.173 0.011
20 Ge 0.250 0.827 0.989
21 Ge 0.250 0.990 0.320
22 Ge 0.750 0.010 0.680
23 Ge 0.750 0.490 0.180
24 Ge 0.250 0.510 0.820

---

(3)
LaFe2Cl8: optimized geometry, PBE.

Summary:
**Total magnetic moment**: 9.00 μB per cell
**Space group**: C2/m, No. 12
**Calculated volume**: 384 Å³ per cell
**N(E_F)**: 6.28 states/eV/cell
**Crystal system**: monoclinic
**Formation energy (no corrections)**: -1.307 eV per atom

Unit cell a=6.553 b=7.936 c=7.936 alpha=69.32 beta=84.88 gamma=84.88
Last column: magnetic moment on the atom in μB.
Fractional positions:
1 La 0.000 0.000 0.000  -0.02
2 Fe 0.645 0.804 0.804  -3.60
3 Fe 0.355 0.196 0.196  -3.60
4 Cl 0.239 0.300 0.908  -0.10
5 Cl 0.761 0.092 0.700  -0.10
6 Cl 0.294 0.824 0.824  -0.09
7 Cl 0.706 0.176 0.176  -0.09
8 Cl 0.239 0.908 0.300  -0.10
9 Cl 0.761 0.700 0.092  -0.10
10 Cl 0.773 0.646 0.646  -0.23
11 Cl 0.227 0.354 0.354  -0.23

---

(4)
Ta2InCuGe: optimized geometry, PBE.

Summary:
**Total magnetic moment**: 0.00 μB per cell
**Space group**: P4/mmm, No. 123
**Calculated volume**: 103 Å³ per cell
**N(E_F)**: 3.62 states/eV/cell
**Crystal system**: tetragonal
**Total energy**: -6.199 eV/atom

Unit cell a=4.849 b=4.375 c=4.849 alpha=90.00 beta=90.00 gamma=90.00
Fractional positions:
1 Ge 0.000 0.000 0.000
2 In 0.500 0.500 0.500
3 Cu 0.000 0.500 0.000
4 Ta 0.000 0.000 0.500
5 Ta 0.500 0.000 0.000

---

(5)
CeThN: optimized geometry, PBE.

Summary:
**Total magnetic moment**: 1.70 μB per cell
**Space group**: P3m1, No. 156
**Calculated volume**: 69 Å³ per cell
**N(E_F)**: 4.91 states/eV/cell
**Crystal system**: trigonal
**Formation energy (no corrections)**: -0.831 eV per atom
**Excess energy over the best structure of this formula in the dataset**: 0.0722 eV per atom

Unit cell a=6.164 b=3.602 c=3.602 alpha=120.00 beta=90.00 gamma=90.00
Last column: magnetic moment on the atom in μB.
Fractional positions:
1 Ce 0.772 0.667 0.333  0.83
2 Th 0.230 0.333 0.667  0.21
3 N 0.998 0.000 0.000  0.01

---

(6)
LaO: optimized geometry, PBE.

Summary:
**Total magnetic moment**: 0.09 μB per cell
**Space group**: I-43m, No. 217
**Calculated volume**: 419 Å³ per cell
**N(E_F)**: 13.70 states/eV/cell
**Crystal system**: cubic
**Formation energy (no corrections)**: -2.804 eV per atom

Unit cell a=7.481 b=7.481 c=7.481 alpha=90.00 beta=90.00 gamma=90.00
Fractional positions:
1 La 0.324 0.324 0.324
2 La 0.324 0.676 0.676
3 La 0.676 0.324 0.676
4 La 0.676 0.676 0.324
5 La 0.824 0.824 0.824
6 La 0.824 0.176 0.176
7 La 0.176 0.824 0.176
8 La 0.176 0.176 0.824
9 O 0.143 0.143 0.143
10 O 0.143 0.857 0.857
11 O 0.857 0.143 0.857
12 O 0.857 0.857 0.143
13 O 0.643 0.643 0.643
14 O 0.643 0.357 0.357
15 O 0.357 0.643 0.357
16 O 0.357 0.357 0.643

---

(7)
Pr8AlCd2: optimized geometry, PBE.

Summary:
**Total magnetic moment**: 0.00 μB per cell
**Space group**: C2/m, No. 12
**Calculated volume**: 353 Å³ per cell
**N(E_F)**: 10.89 states/eV/cell
**Crystal system**: monoclinic
**Excess energy over the best structure of this formula in the dataset**: 0.0000 eV per atom

Unit cell a=5.521 b=8.863 c=8.863 alpha=119.37 beta=108.15 gamma=90.00
Fractional positions:
1 Pr 0.590 0.440 0.181
2 Pr 0.321 0.048 0.643
3 Pr 0.132 0.183 0.265
4 Pr 0.070 0.721 0.141
5 Pr 0.868 0.817 0.735
6 Pr 0.679 0.952 0.357
7 Pr 0.410 0.560 0.819
8 Pr 0.930 0.279 0.859
9 Al 0.500 0.000 0.000
10 Cd 0.228 0.615 0.457
11 Cd 0.772 0.385 0.543

---

(8)
V6SiAs: optimized geometry, PBE.

Summary:
**Total magnetic moment**: 0.00 μB per cell
**Space group**: R-3, No. 148
**Calculated volume**: 105 Å³ per cell
**N(E_F)**: 11.32 states/eV/cell
**Crystal system**: trigonal
**Formation energy (no corrections)**: -0.465 eV per atom

Unit cell a=6.677 b=6.675 c=4.721 alpha=45.03 beta=44.99 gamma=60.01
Fractional positions:
1 V 0.001 0.500 0.743
2 V 0.755 0.000 0.745
3 V 0.500 0.245 0.256
4 V 0.245 0.000 0.255
5 V 0.999 0.500 0.257
6 V 0.500 0.755 0.744
7 Si 0.000 0.000 0.000
8 As 0.500 0.500 0.500

---

(9)
Nd6As2SeS3: optimized geometry, PBE.

Summary:
**Total magnetic moment**: 0.00 μB per cell
**Space group**: C2/m, No. 12
**Calculated volume**: 307 Å³ per cell
**N(E_F)**: 4.31 states/eV/cell
**Crystal system**: monoclinic
**Formation energy (no corrections)**: -1.849 eV per atom

Unit cell a=4.170 b=8.329 c=9.314 alpha=102.60 beta=102.94 gamma=90.00
Fractional positions:
1 Nd 0.329 0.916 0.658
2 Nd 0.667 0.585 0.333
3 Nd 0.671 0.084 0.342
4 Nd 0.000 0.262 0.999
5 Nd 0.000 0.738 0.001
6 Nd 0.333 0.415 0.667
7 As 0.834 0.668 0.668
8 As 0.166 0.332 0.332
9 Se 0.500 0.000 0.000
10 S 0.500 0.500 0.000
11 S 0.835 0.166 0.669
12 S 0.165 0.834 0.331

---

(10)
TaZnSe: optimized geometry, PBE.

Summary:
**Total magnetic moment**: 0.00 μB per cell
**Space group**: P3m1, No. 156
**Calculated volume**: 58 Å³ per cell
**N(E_F)**: 2.04 states/eV/cell
**Crystal system**: trigonal
**Formation energy (no corrections)**: -0.164 eV per atom
**Excess energy over the best structure of this formula in the dataset**: 0.0000 eV per atom

Unit cell a=3.226 b=3.226 c=6.407 alpha=90.00 beta=90.00 gamma=120.00
Fractional positions:
1 Se 0.000 0.000 0.040
2 Ta 0.667 0.333 0.316
3 Zn 0.333 0.667 0.643

---

(11)
ErZn4Tc: optimized geometry, PBE.

Summary:
**Total magnetic moment**: 0.12 μB per cell
**Space group**: F-43m, No. 216
**Calculated volume**: 95 Å³ per cell
**N(E_F)**: 6.53 states/eV/cell
**Crystal system**: cubic
**Total energy**: -3.507 eV/atom

Unit cell a=5.124 b=5.124 c=5.124 alpha=60.00 beta=60.00 gamma=60.00
Last column: magnetic moment on the atom in μB.
Fractional positions:
1 Zn 0.626 0.626 0.121  0.00
2 Zn 0.626 0.121 0.626  0.00
3 Zn 0.626 0.626 0.626  0.00
4 Zn 0.121 0.626 0.626  0.00
5 Tc 0.000 0.000 0.000  0.08
6 Er 0.250 0.250 0.250  0.02

---

(12)
LiThHg: optimized geometry, PBE.

Summary:
**Total magnetic moment**: 0.00 μB per cell
**Space group**: R-3m, No. 166
**Calculated volume**: 154 Å³ per cell
**N(E_F)**: 3.87 states/eV/cell
**Crystal system**: trigonal
**Excess energy over the best structure of this formula in the dataset**: 0.0614 eV per atom

Unit cell a=3.514 b=3.514 c=14.566 alpha=83.07 beta=83.07 gamma=60.00
Fractional positions:
1 Li 0.193 0.193 0.421
2 Li 0.807 0.807 0.579
3 Th 0.300 0.300 0.101
4 Th 0.700 0.700 0.899
5 Hg 0.571 0.571 0.288
6 Hg 0.429 0.429 0.712